No. 1
Material: HoNp2Ir9
Method: DFT, GGA-PBE
State: optimized geometry

Crystal system: trigonal
DFT total energy, eV/atom: -9.588
Space group: No. 166
Energy relative to the elements, meV/atom: -404
Magnetization, μB per formula unit: 5.6

Cell: 9.2980 9.2980 9.2980 Å, 32.98 32.98 32.98°
Closest atoms and distances in Å follow each position.
Sites, in units of the cell vectors:
Ho 0.0000 0.0000 0.0000  6 Ir 3.05
Np 0.1402 0.1402 0.1402  12 Ir 3.04-3.27, 3 Np 3.35
Np 0.8598 0.8598 0.8598  12 Ir 3.04-3.27, 3 Np 3.35
Ir 0.0808 0.5844 0.5844  7 Ir 2.62-2.68
Ir 0.3331 0.3331 0.3331  6 Ir 2.66-2.68
Ir 0.4156 0.4156 0.9192  7 Ir 2.62-2.68
Ir 0.4156 0.9192 0.4156  7 Ir 2.62-2.68
Ir 0.5000 0.5000 0.5000  6 Ir 2.68
Ir 0.5844 0.0808 0.5844  7 Ir 2.62-2.68
Ir 0.5844 0.5844 0.0808  7 Ir 2.62-2.68
Ir 0.6669 0.6669 0.6669  6 Ir 2.66-2.68
Ir 0.9192 0.4156 0.4156  7 Ir 2.62-2.68

No. 2
Material: LiThAlZn6
Method: DFT, GGA-PBE
State: optimized geometry

Crystal system: orthorhombic
DFT total energy, eV/atom: -2.138
Space group: No. 74
Energy relative to the elements, meV/atom: 164
Magnetization, μB per formula unit: 0.0

Cell: 9.4690 9.4690 9.4690 Å, 147.68 121.39 68.53°
Closest atoms and distances in Å follow each position.
Sites, in units of the cell vectors:
Li 0.0000 0.0000 0.0000  4 Zn 2.81
Li 0.5000 0.0000 0.5000  4 Zn 2.81
Th 0.3369 0.5869 0.7500  8 Zn 2.96-3.25
Th 0.6631 0.4131 0.2500  8 Zn 2.96-3.25
Al 0.0000 0.0000 0.5000  6 Zn 2.61-2.66, 2 Al 2.64
Al 0.0000 0.5000 0.0000  6 Zn 2.61-2.66, 2 Al 2.64
Zn 0.1460 0.4041 0.2313  5 Zn 2.58-2.85, 1 Al 2.61, 1 Li 2.81
Zn 0.1460 0.9147 0.7419  5 Zn 2.58-2.85, 1 Al 2.61, 1 Li 2.81
Zn 0.1479 0.3979 0.7500  2 Al 2.66, 4 Zn 2.72, 1 Th 2.96
Zn 0.3271 0.0853 0.7313  5 Zn 2.58-2.85, 1 Al 2.61, 1 Li 2.81
Zn 0.3271 0.5959 0.2419  5 Zn 2.58-2.85, 1 Al 2.61, 1 Li 2.81
Zn 0.4551 0.2051 0.2500  6 Zn 2.85-2.99
Zn 0.5449 0.7949 0.7500  6 Zn 2.85-2.99
Zn 0.6729 0.4041 0.7581  5 Zn 2.58-2.85, 1 Al 2.61, 1 Li 2.81
Zn 0.6729 0.9147 0.2687  5 Zn 2.58-2.85, 1 Al 2.61, 1 Li 2.81
Zn 0.8521 0.6021 0.2500  2 Al 2.66, 4 Zn 2.72, 1 Th 2.96
Zn 0.8540 0.0853 0.2581  5 Zn 2.58-2.85, 1 Al 2.61, 1 Li 2.81
Zn 0.8540 0.5959 0.7687  5 Zn 2.58-2.85, 1 Al 2.61, 1 Li 2.81

No. 3
Material: HfBi3N
Method: DFT, GGA-PBE
State: optimized geometry

Crystal system: cubic
Uncorrected formation energy, eV per atom: 1.25
DFT total energy, eV/atom: -4.733
Space group: No. 221
Magnetization, μB per formula unit: 2.3

Cell: 5.6365 5.6365 5.6365 Å, 90.00 90.00 90.00°
Closest atoms and distances in Å follow each position.
Sites, in units of the cell vectors:
Hf 0.0000 0.0000 0.0000  6 Bi 2.82
Bi 0.0000 0.0000 0.5000  2 Hf 2.82
Bi 0.0000 0.5000 0.0000  2 Hf 2.82
Bi 0.5000 0.0000 0.0000  2 Hf 2.82
N 0.5000 0.5000 0.5000  12 Bi 3.99